No. 1
Compound: SmAl3
Source: Alexandria
Functional: PBE-GGA
Structure: optimized geometry

Output
DOS(E_F), states/eV/cell: 3.27
Energy relative to the elements, meV per atom: -446
Size of the total moment, μB/cell: 0.0
VASP energy, eV per atom: -4.4332

Lattice parameters (Å, degrees): 6.3973 6.3973 4.6537 90.00 90.00 120.00
Last column: nearest neighbours and their distance in Å.
Space group P6_3/mmc (No. 194)
One atom of each set of equivalent atoms:
Sm 0.3333 0.6667 0.2500 (multiplicity 2)  12 Al 3.14-3.21
Al 0.1430 0.2861 0.7500 (multiplicity 6)  6 Al 2.75-2.82



No. 2
Compound: Sm8Al
Source: Alexandria
Functional: PBE-GGA
Structure: optimized geometry

Output
DOS(E_F), states/eV/cell: 25.78
Energy relative to the elements, meV per atom: -21
Size of the total moment, μB/cell: 0.0
VASP energy, eV per atom: -4.6318

Lattice parameters (Å, degrees): 10.7312 10.7312 4.9326 90.00 90.00 90.00
Last column: nearest neighbours and their distance in Å.
Space group I4/mmm (No. 139)
One atom of each set of equivalent atoms:
Sm 0.0000 0.3307 0.0000 (multiplicity 8)  11 Sm 3.52-3.67, 1 Al 3.55
Sm 0.1581 0.1581 0.5000 (multiplicity 8)  10 Sm 3.39-3.72, 2 Al 3.44
Al 0.0000 0.0000 0.0000 (multiplicity 2)  12 Sm 3.44-3.55



No. 3
Compound: Sm2Al7
Source: Alexandria
Functional: PBE-GGA
Structure: optimized geometry

Output
DOS(E_F), states/eV/cell: 30.35
Energy relative to the elements, meV per atom: -321
Size of the total moment, μB/cell: 0.0
VASP energy, eV per atom: -4.2803

Lattice parameters (Å, degrees): 5.5906 5.5906 39.9177 90.00 90.00 120.00
Last column: nearest neighbours and their distance in Å.
Space group R-3m (No. 166, hexagonal axes)
One atom of each set of equivalent atoms:
Sm 0.0000 0.0000 0.0523 (multiplicity 6)  12 Al 3.23-3.49
Sm 0.0000 0.0000 0.1496 (multiplicity 6)  12 Al 3.20-3.33, 3 Sm 3.50
Al 0.0000 0.0000 0.2787 (multiplicity 6)  6 Al 2.71-2.74
Al 0.0000 0.0000 0.3887 (multiplicity 6)  6 Al 2.74
Al 0.0000 0.0000 0.5000 (multiplicity 3)  6 Al 2.78
Al 0.0000 0.5000 0.0000 (multiplicity 9)  8 Al 2.71-2.80
Al 0.0048 0.5024 0.8896 (multiplicity 18)  7 Al 2.74-2.84



No. 4
Compound: Sm3Al2
Source: Alexandria
Functional: PBE-GGA
Structure: optimized geometry

Output
DOS(E_F), states/eV/cell: 9.98
Energy relative to the elements, meV per atom: -306
Size of the total moment, μB/cell: 0.0
ΔE to the lowest computed polymorph, eV/atom: 0.000
VASP energy, eV per atom: -4.6347

Lattice parameters (Å, degrees): 4.9290 6.8516 8.0668 90.00 90.00 90.00
Last column: nearest neighbours and their distance in Å.
Space group Immm (No. 71)
One atom of each set of equivalent atoms:
Sm 0.0000 0.0000 0.0000 (multiplicity 2)  4 Al 3.23, 4 Sm 3.47
Sm 0.0000 0.5000 0.1975 (multiplicity 4)  3 Sm 3.19-3.47, 6 Al 3.21-3.22
Al 0.0000 0.1947 0.5000 (multiplicity 4)  1 Al 2.67



No. 5
Compound: Sm3Al2
Source: Alexandria
Functional: PBE-GGA
Structure: optimized geometry

Output
DOS(E_F), states/eV/cell: 30.80
Energy relative to the elements, meV per atom: -293
Size of the total moment, μB/cell: 0.0
ΔE to the lowest computed polymorph, eV/atom: 0.013
VASP energy, eV per atom: -4.6215

Lattice parameters (Å, degrees): 8.4261 8.4261 7.7048 90.00 90.00 90.00
Last column: nearest neighbours and their distance in Å.
Space group P4_2/mnm (No. 136)
One atom of each set of equivalent atoms:
Sm 0.0000 0.5000 0.2500 (multiplicity 4)  4 Al 3.40, 8 Sm 3.59-3.75
Sm 0.1490 0.1490 0.0000 (multiplicity 4)  6 Al 3.14-3.29
Sm 0.2017 0.2017 0.5000 (multiplicity 4)  6 Al 3.15-3.21
Al 0.1180 0.8820 0.3097 (multiplicity 8)  2 Al 2.81-2.93, 3 Sm 3.14-3.15



No. 6
Compound: SmAl5
Source: Alexandria
Functional: PBE-GGA
Structure: optimized geometry

Output
DOS(E_F), states/eV/cell: 4.91
Energy relative to the elements, meV per atom: -211
Size of the total moment, μB/cell: 0.0
VASP energy, eV per atom: -4.1163

Lattice parameters (Å, degrees): 4.3987 6.2087 8.6529 90.00 90.00 90.00
Last column: nearest neighbours and their distance in Å.
Space group Immm (No. 71)
One atom of each set of equivalent atoms:
Sm 0.0000 0.0000 0.0000 (multiplicity 2)  14 Al 3.10-3.24
Al 0.0000 0.2269 0.3372 (multiplicity 8)  6 Al 2.68-2.97
Al 0.0000 0.5000 0.0000 (multiplicity 2)  8 Al 2.97, 2 Sm 3.10



No. 7
Compound: SmAl4
Source: Alexandria
Functional: PBE-GGA
Structure: optimized geometry

Output
DOS(E_F), states/eV/cell: 5.68
Energy relative to the elements, meV per atom: 1250
Size of the total moment, μB/cell: 0.0
ΔE to the lowest computed polymorph, eV/atom: 1.601
VASP energy, eV per atom: -2.6879

Lattice parameters (Å, degrees): 5.6147 5.6147 5.6147 90.00 90.00 90.00
Last column: nearest neighbours and their distance in Å.
Space group Pm-3m (No. 221)
One atom of each set of equivalent atoms:
Sm 0.0000 0.0000 0.0000 (multiplicity 1)  6 Al 2.81
Al 0.0000 0.0000 0.5000 (multiplicity 3)  2 Sm 2.81
Al 0.5000 0.5000 0.5000 (multiplicity 1)  12 Al 3.97



No. 8
Compound: SmAl4
Source: Alexandria
Functional: PBE-GGA
Structure: optimized geometry

Output
DOS(E_F), states/eV/cell: 13.82
Energy relative to the elements, meV per atom: 109
Size of the total moment, μB/cell: 0.0
ΔE to the lowest computed polymorph, eV/atom: 0.459
VASP energy, eV per atom: -3.8293

Lattice parameters (Å, degrees): 9.1289 9.1289 5.7062 90.00 90.00 90.00
Last column: nearest neighbours and their distance in Å.
Space group P4/mbm (No. 127)
One atom of each set of equivalent atoms:
Sm 0.1551 0.3449 0.0000 (multiplicity 4)  4 Al 3.20
Al 0.0000 0.0000 0.2102 (multiplicity 4)  5 Al 2.40-2.62
Al 0.1004 0.6004 0.5000 (multiplicity 4)  5 Al 2.59-2.77
Al 0.1103 0.1927 0.5000 (multiplicity 8)  5 Al 2.54-2.77



No. 9
Compound: Sm3Al
Source: Alexandria
Functional: PBE-GGA
Structure: optimized geometry

Output
DOS(E_F), states/eV/cell: 9.49
Energy relative to the elements, meV per atom: -160
Size of the total moment, μB/cell: 0.0
ΔE to the lowest computed polymorph, eV/atom: 0.027
VASP energy, eV per atom: -4.6353

Lattice parameters (Å, degrees): 3.8260 11.6236 5.3547 90.00 90.00 90.00
Last column: nearest neighbours and their distance in Å.
Space group Imm2 (No. 44)
One atom of each set of equivalent atoms:
Sm 0.0000 0.0000 0.0000 (multiplicity 2)  4 Al 3.29, 4 Sm 3.65-3.66
Sm 0.0000 0.2141 0.4985 (multiplicity 4)  2 Al 3.14, 4 Sm 3.39
Al 0.0000 0.5000 0.0006 (multiplicity 2)  8 Sm 3.14-3.29



No. 10
Compound: Sm3Al2Sn4
Source: Alexandria
Functional: PBE-GGA
Structure: optimized geometry

Output
DOS(E_F), states/eV/cell: 4.12
Energy relative to the elements, meV per atom: -534
Size of the total moment, μB/cell: 0.0
VASP energy, eV per atom: -4.7181

Lattice parameters (Å, degrees): 4.6048 6.9634 8.3313 69.11 73.97 89.97
Last column: nearest neighbours and their distance in Å.
Space group P-1 (No. 2)
One atom of each set of equivalent atoms:
Sm 0.0000 0.0000 0.0000 (multiplicity 1)  6 Sn 3.09-3.20, 4 Al 3.45
Sm 0.1324 0.6301 0.7354 (multiplicity 2)  7 Sn 3.24-3.49, 3 Al 3.30-3.42
Al 0.3410 0.0125 0.3166 (multiplicity 2)  4 Sn 2.83-3.02
Sn 0.2142 0.2389 0.5729 (multiplicity 2)  3 Al 2.83-3.02
Sn 0.4800 0.6896 0.0405 (multiplicity 2)  1 Al 2.84, 1 Sn 2.94, 2 Sm 3.09



No. 11
Compound: Sm4Al3Sn
Source: Alexandria
Functional: PBE-GGA
Structure: optimized geometry

Output
DOS(E_F), states/eV/cell: 8.54
Energy relative to the elements, meV per atom: -483
Size of the total moment, μB/cell: 0.3
VASP energy, eV per atom: -4.7459

Lattice parameters (Å, degrees): 4.2404 4.5564 11.4403 90.00 90.00 90.00
Last column: nearest neighbours and their distance in Å.
Space group Pmm2 (No. 25)
One atom of each set of equivalent atoms:
Sm 0.0000 0.0000 0.0000 (multiplicity 1)  5 Al 3.20-3.26, 2 Sn 3.41
Sm 0.0000 0.5000 0.4897 (multiplicity 1)  6 Al 3.19-3.27, 1 Sn 3.30
Sm 0.5000 0.0000 0.7128 (multiplicity 1)  4 Sn 3.20, 3 Al 3.26-3.41
Sm 0.5000 0.5000 0.2157 (multiplicity 1)  7 Al 3.21-3.33
Al 0.0000 0.0000 0.2848 (multiplicity 1)  2 Al 2.68
Al 0.5000 0.0000 0.4283 (multiplicity 1)  2 Al 2.68
Al 0.5000 0.5000 0.9343 (multiplicity 1)  2 Sn 2.77
Sn 0.0000 0.5000 0.7779 (multiplicity 1)  2 Al 2.77